Density functional theory data (PBE-GGA) for crystalline Cd2HgTe2 at its relaxed geometry.

Summary:
For the uncorrected formation energy, the calculation gives -0.2495 eV per atom. The calculated volume comes out at 173.6 Å³ per cell. The offset from the most stable computed form is 0.000 eV per formula unit. For the total energy, the calculation gives -1.9325 eV per atom.

a b c (Å): 4.685 4.685 8.575
angles (deg): 74.15 74.15 90.00
Element x y z (fractional)
Te: 0.362 0.362 0.276
Te: 0.638 0.638 0.724
Hg: 0.000 0.000 0.000
Cd: 0.750 0.250 0.500
Cd: 0.250 0.750 0.500